(1)
# Y3BS | Alexandria via LeMat-Bulk | PBE | optimized geometry
data_Y3BS
_symmetry_space_group_name_H-M 'P m -3 m'
_symmetry_Int_Tables_number 221
_symmetry_space_group_name_Hall '-P 4 2 3'
_cell_length_a 4.964
_cell_length_b 4.964
_cell_length_c 4.964
_cell_angle_alpha 90.00
_cell_angle_beta 90.00
_cell_angle_gamma 90.00
loop_
_atom_site_label
_atom_site_fract_x
_atom_site_fract_y
_atom_site_fract_z
Y1 0.000 0.000 0.500
B1 0.000 0.000 0.000
S1 0.500 0.500 0.500
# ΔE to the lowest computed polymorph: 0 meV per atom

***

(2)
# PrHo2Te | Alexandria via LeMat-Bulk | PBE | optimized geometry
data_PrHo2Te
_symmetry_space_group_name_H-M 'C m c m'
_symmetry_Int_Tables_number 63
_symmetry_space_group_name_Hall '-C 2c 2'
_cell_length_a 3.990
_cell_length_b 12.268
_cell_length_c 9.903
_cell_angle_alpha 90.00
_cell_angle_beta 90.00
_cell_angle_gamma 90.00
loop_
_atom_site_label
_atom_site_fract_x
_atom_site_fract_y
_atom_site_fract_z
Pr1 0.000 0.054 0.250
Ho1 0.000 0.363 0.034
Te1 0.000 0.231 0.750
# ΔE to the lowest computed polymorph: 0 meV per atom

***

(3)
# La4GaSi2 | Alexandria via LeMat-Bulk | PBE | optimized geometry
data_La4GaSi2
_symmetry_space_group_name_H-M 'P 1 21/m 1'
_symmetry_Int_Tables_number 11
_symmetry_space_group_name_Hall '-P 2yb'
_cell_length_a 6.985
_cell_length_b 6.605
_cell_length_c 8.879
_cell_angle_alpha 90.00
_cell_angle_beta 104.06
_cell_angle_gamma 90.00
loop_
_atom_site_label
_atom_site_fract_x
_atom_site_fract_y
_atom_site_fract_z
La1 0.146 0.250 0.080
La2 0.176 0.750 0.348
La3 0.323 0.004 0.742
Ga1 0.414 0.250 0.431
Si1 0.064 0.250 0.406
Si2 0.316 0.750 0.047
# ΔE to the lowest computed polymorph: 0 meV per atom

***

(4)
# Ca2GaSiAu6 | Alexandria via LeMat-Bulk | PBE | optimized geometry
data_Ca2GaSiAu6
_symmetry_space_group_name_H-M 'P m m n'
_symmetry_Int_Tables_number 59
_cell_length_a 5.792
_cell_length_b 8.929
_cell_length_c 8.580
_cell_angle_alpha 90.00
_cell_angle_beta 90.00
_cell_angle_gamma 90.00
loop_
_symmetry_equiv_pos_as_xyz
'x,y,z'
'-x,-y,-z'
'-x+1/2,-y+1/2,z'
'x+1/2,y+1/2,-z'
'x+1/2,-y,-z'
'-x+1/2,y,z'
'-x,y+1/2,-z'
'x,-y+1/2,z'
loop_
_atom_site_label
_atom_site_fract_x
_atom_site_fract_y
_atom_site_fract_z
Ca1 0.250 0.005 0.231
Ga1 0.250 0.750 0.773
Si1 0.250 0.250 0.752
Au1 0.001 0.750 0.019
Au2 0.001 0.750 0.509
Au3 0.250 0.004 0.624
# VASP energy: -73.7 eV/cell